# Cs2ZrAs

Cs2ZrAs after structural relaxation (PBE-GGA, the Alexandria database). Values from VASP.

Quantum ESPRESSO input file:
```
&SYSTEM
  ibrav = 0, nat = 8, ntyp = 3
/
ATOMIC_SPECIES
Cs 132.91 Cs.upf
Zr 91.22 Zr.upf
As 74.92 As.upf
ATOMIC_POSITIONS crystal
Cs 0.3750 0.2016 0.3266
Cs 0.7984 0.1250 0.1734
Cs 0.8750 0.0484 0.6734
Cs 0.9516 0.6250 0.8266
Zr 0.2500 0.7500 0.5000
Zr 0.5000 0.5000 0.0000
As 0.0000 0.0000 0.0000
As 0.7500 0.2500 0.5000
CELL_PARAMETERS angstrom
-6.9949 6.9949 2.6124
6.9949 -6.9949 2.6124
6.9949 6.9949 -2.6124
```

Energy above the lowest structure with this stoichiometry, kJ per mole of atoms: 0.0
Formation enthalpy at 0 K, eV per atom: 0.187

# Mg7Si4

Mg7Si4 after structural relaxation (PBE-GGA, the Alexandria database). Values from VASP.

Quantum ESPRESSO input file:
```
&SYSTEM
  ibrav = 0, nat = 22, ntyp = 2
/
ATOMIC_SPECIES
Mg 24.30 Mg.upf
Si 28.09 Si.upf
ATOMIC_POSITIONS crystal
Mg 0.0000 0.0000 0.0000
Mg 0.0033 0.8765 0.7922
Mg 0.1083 0.2898 0.6288
Mg 0.1282 0.2171 0.4144
Mg 0.1962 0.1963 0.2009
Mg 0.2212 0.7917 0.5829
Mg 0.2498 0.7207 0.3553
Mg 0.4653 0.2662 0.9851
Mg 0.4736 0.7161 0.1365
Mg 0.5083 0.7718 0.9171
Mg 0.5876 0.3961 0.5061
Mg 0.7112 0.8897 0.4578
Mg 0.8961 0.3786 0.8304
Mg 0.9490 0.4981 0.0368
Si 0.3975 0.5434 0.7672
Si 0.4169 0.1427 0.7859
Si 0.6111 0.2353 0.3183
Si 0.6742 0.0482 0.6456
Si 0.7107 0.1322 0.1588
Si 0.7259 0.6483 0.6469
Si 0.7663 0.5913 0.3264
Si 0.9701 0.7637 0.1852
CELL_PARAMETERS angstrom
5.2524 0.0000 0.0000
0.5623 6.0211 0.0000
0.4469 1.6350 14.0646
```

Energy above the lowest structure with this stoichiometry, kJ per mole of atoms: 3.6
Formation energy without anion corrections, eV/atom: 0.054

# Sr3PmPr2Se6

Sr3PmPr2Se6 after structural relaxation (PBE-GGA, the Alexandria database). Values from VASP.

Quantum ESPRESSO input file:
```
&SYSTEM
  ibrav = 0, nat = 12, ntyp = 4
/
ATOMIC_SPECIES
Sr 87.62 Sr.upf
Pm 145.00 Pm.upf
Pr 140.91 Pr.upf
Se 78.96 Se.upf
ATOMIC_POSITIONS crystal
Sr 0.0000 0.0000 0.0000
Sr 0.3324 0.6676 0.0000
Sr 0.6676 0.3324 0.0000
Pm 0.5000 0.5000 0.5000
Pr 0.1663 0.8337 0.5000
Pr 0.8337 0.1663 0.5000
Se 0.0895 0.4195 0.2581
Se 0.2511 0.2511 0.7426
Se 0.4195 0.0895 0.2581
Se 0.5805 0.9105 0.7419
Se 0.7489 0.7489 0.2574
Se 0.9105 0.5805 0.7419
CELL_PARAMETERS angstrom
3.7223 -6.4410 0.0000
3.7223 6.4410 0.0000
-2.4837 0.0000 7.1894
```

Formation energy without anion corrections, eV/atom: -1.922

# TaMn2Ni2

TaMn2Ni2 after structural relaxation (PBE-GGA, the Alexandria database). Values from VASP.

Quantum ESPRESSO input file:
```
&SYSTEM
  ibrav = 0, nat = 10, ntyp = 3
/
ATOMIC_SPECIES
Ta 180.95 Ta.upf
Mn 54.94 Mn.upf
Ni 58.69 Ni.upf
ATOMIC_POSITIONS crystal
Ta 0.0000 0.0000 0.0000
Ta 0.5000 0.5000 0.0000
Mn 0.1646 0.3354 0.5000
Mn 0.3354 0.8354 0.5000
Mn 0.6646 0.1646 0.5000
Mn 0.8354 0.6646 0.5000
Ni 0.1292 0.6292 0.0000
Ni 0.3708 0.1292 0.0000
Ni 0.6292 0.8708 0.0000
Ni 0.8708 0.3708 0.0000
CELL_PARAMETERS angstrom
6.9242 0.0000 0.0000
0.0000 6.9242 0.0000
0.0000 0.0000 2.7524
```

Energy above the lowest structure with this stoichiometry, kJ per mole of atoms: 0.0
Formation enthalpy at 0 K, eV per atom: 0.026

# Nb2Ga4Pt

Nb2Ga4Pt after structural relaxation (PBE-GGA, the Alexandria database). Values from VASP.

Quantum ESPRESSO input file:
```
&SYSTEM
  ibrav = 0, nat = 7, ntyp = 3
/
ATOMIC_SPECIES
Nb 92.91 Nb.upf
Ga 69.72 Ga.upf
Pt 195.08 Pt.upf
ATOMIC_POSITIONS crystal
Nb 0.0993 0.0993 0.0000
Nb 0.9007 0.9007 0.0000
Ga 0.0000 0.5000 0.5000
Ga 0.3056 0.3056 0.0000
Ga 0.5000 0.0000 0.5000
Ga 0.6944 0.6944 0.0000
Pt 0.5000 0.5000 0.0000
CELL_PARAMETERS angstrom
-2.4138 2.4138 6.5052
2.4138 -2.4138 6.5052
2.4138 2.4138 -6.5052
```

Formation enthalpy at 0 K, eV per atom: 0.277

# ReSiPt2

ReSiPt2 after structural relaxation (PBE-GGA, the Alexandria database). Values from VASP.

Quantum ESPRESSO input file:
```
&SYSTEM
  ibrav = 0, nat = 4, ntyp = 3
/
ATOMIC_SPECIES
Re 186.21 Re.upf
Si 28.09 Si.upf
Pt 195.08 Pt.upf
ATOMIC_POSITIONS crystal
Re 0.0000 0.0000 0.0000
Si 0.5000 0.5000 0.0000
Pt 0.0000 0.5000 0.5000
Pt 0.5000 0.0000 0.5000
CELL_PARAMETERS angstrom
3.7726 0.0000 0.0000
0.0000 3.7726 0.0000
0.0000 0.0000 4.1405
```

Formation energy without anion corrections, eV/atom: -0.043

# AgSeO

AgSeO after structural relaxation (PBE-GGA, the Alexandria database). Values from VASP.

Quantum ESPRESSO input file:
```
&SYSTEM
  ibrav = 0, nat = 6, ntyp = 3
/
ATOMIC_SPECIES
Ag 107.87 Ag.upf
Se 78.96 Se.upf
O 16.00 O.upf
ATOMIC_POSITIONS crystal
Ag 0.2326 0.0972 0.2917
Ag 0.7674 0.9028 0.7083
Se 0.2937 0.6138 0.8518
Se 0.7063 0.3862 0.1482
O 0.2411 0.2246 0.6710
O 0.7589 0.7754 0.3290
CELL_PARAMETERS angstrom
3.7623 0.0000 0.0000
-0.0856 4.4830 0.0000
-0.3549 -2.0742 6.3930
```

Energy above the lowest structure with this stoichiometry, kJ per mole of atoms: 14.8
Formation energy without anion corrections, eV/atom: -0.162

# Na2PaHgSe4

Na2PaHgSe4 after structural relaxation (PBE-GGA, the Alexandria database). Values from VASP.

Quantum ESPRESSO input file:
```
&SYSTEM
  ibrav = 0, nat = 8, ntyp = 4
/
ATOMIC_SPECIES
Na 22.99 Na.upf
Pa 231.04 Pa.upf
Hg 200.59 Hg.upf
Se 78.96 Se.upf
ATOMIC_POSITIONS crystal
Na 0.0000 0.0000 0.0000
Na 0.0000 0.5000 0.5000
Pa 0.5000 0.0000 0.5000
Hg 0.5000 0.5000 0.0000
Se 0.2599 0.5000 0.2746
Se 0.2805 0.0000 0.7411
Se 0.7195 0.0000 0.2589
Se 0.7401 0.5000 0.7254
CELL_PARAMETERS angstrom
7.3499 0.0000 0.0000
0.0000 4.1627 0.0000
-2.6084 0.0000 7.0017
```

Formation energy without anion corrections, eV/atom: -0.990

# SrZrW2

SrZrW2 after structural relaxation (PBE-GGA, the Alexandria database). Values from VASP.

Quantum ESPRESSO input file:
```
&SYSTEM
  ibrav = 0, nat = 8, ntyp = 3
/
ATOMIC_SPECIES
Sr 87.62 Sr.upf
Zr 91.22 Zr.upf
W 183.84 W.upf
ATOMIC_POSITIONS crystal
Sr 0.0000 0.0000 0.0000
Sr 0.7500 0.2500 0.5000
Zr 0.2500 0.7500 0.5000
Zr 0.5000 0.5000 0.0000
W 0.3426 0.6250 0.2176
W 0.3750 0.5926 0.7176
W 0.4074 0.1250 0.7824
W 0.8750 0.6574 0.2824
CELL_PARAMETERS angstrom
-2.4773 2.4773 9.6641
2.4773 -2.4773 9.6641
2.4773 2.4773 -9.6641
```

Energy above the lowest structure with this stoichiometry, kJ per mole of atoms: 94.5
Formation enthalpy at 0 K, eV per atom: 1.498

# LiEr3Co8

LiEr3Co8 after structural relaxation (PBE-GGA, the Alexandria database). Values from VASP.

Quantum ESPRESSO input file:
```
&SYSTEM
  ibrav = 0, nat = 12, ntyp = 3
/
ATOMIC_SPECIES
Li 6.94 Li.upf
Er 167.26 Er.upf
Co 58.93 Co.upf
ATOMIC_POSITIONS crystal
Li 0.0000 0.0000 0.0000
Er 0.3673 0.3673 0.3673
Er 0.4962 0.4962 0.4962
Er 0.8794 0.8794 0.8794
Co 0.1852 0.1852 0.1852
Co 0.4329 0.9342 0.9342
Co 0.4358 0.4358 0.9348
Co 0.4358 0.9348 0.4358
Co 0.6841 0.6841 0.6841
Co 0.9342 0.4329 0.9342
Co 0.9342 0.9342 0.4329
Co 0.9348 0.4358 0.4358
CELL_PARAMETERS angstrom
2.4909 1.4381 8.1129
-2.4909 1.4381 8.1129
0.0000 -2.8763 8.1129
```

Formation enthalpy at 0 K, eV per atom: -0.171

# Cs3Na3Hg

Cs3Na3Hg after structural relaxation (PBE-GGA, the Alexandria database). Values from VASP.

Quantum ESPRESSO input file:
```
&SYSTEM
  ibrav = 0, nat = 14, ntyp = 3
/
ATOMIC_SPECIES
Cs 132.91 Cs.upf
Na 22.99 Na.upf
Hg 200.59 Hg.upf
ATOMIC_POSITIONS crystal
Cs 0.0114 0.0114 0.3914
Cs 0.1160 0.1160 0.9174
Cs 0.2502 0.2502 0.2490
Cs 0.7498 0.7498 0.7510
Cs 0.8840 0.8840 0.0826
Cs 0.9886 0.9886 0.6086
Na 0.3038 0.3038 0.4658
Na 0.4036 0.4036 0.9198
Na 0.4525 0.4525 0.7550
Na 0.5475 0.5475 0.2450
Na 0.5964 0.5964 0.0802
Na 0.6962 0.6962 0.5342
Hg 0.2735 0.2735 0.6175
Hg 0.7265 0.7265 0.3825
CELL_PARAMETERS angstrom
7.6216 -2.7769 0.0000
7.6216 2.7769 0.0000
-6.3290 0.0000 19.9427
```

Formation enthalpy at 0 K, eV per atom: -0.063

# Cs5RhO4

Cs5RhO4 after structural relaxation (PBE-GGA, the Alexandria database). Values from VASP.

Quantum ESPRESSO input file:
```
&SYSTEM
  ibrav = 0, nat = 10, ntyp = 3
/
ATOMIC_SPECIES
Cs 132.91 Cs.upf
Rh 102.91 Rh.upf
O 16.00 O.upf
ATOMIC_POSITIONS crystal
Cs 0.0000 0.0000 0.0000
Cs 0.3660 0.3660 0.2024
Cs 0.3660 0.3660 0.6733
Cs 0.6340 0.6340 0.3267
Cs 0.6340 0.6340 0.7976
Rh 0.0000 0.0000 0.5000
O 0.1035 0.1035 0.5479
O 0.5000 0.5000 0.3265
O 0.5000 0.5000 0.6735
O 0.8965 0.8965 0.4521
CELL_PARAMETERS angstrom
10.3850 -1.8382 0.0000
10.3850 1.8382 0.0000
-1.3149 0.0000 7.6017
```

Formation energy without anion corrections, eV/atom: -0.770

| no. | mass density (g cm⁻³) |
| --- | --- |
| 1 | 2.81 |
| 2 | 2.11 |
| 3 | 5.60 |
| 4 | 10.27 |
| 5 | 7.23 |
| 6 | 17.03 |
| 7 | 6.25 |
| 8 | 6.15 |
| 9 | 7.65 |
| 10 | 9.33 |
| 11 | 2.63 |
| 12 | 4.76 |